# 1
Density functional theory data (PBE) for crystalline LaPr2Tm at its relaxed geometry.

Output
Symmetry: R3m
ΔE_f: 0.02 eV/atom
Energy relative to the lowest polymorph listed for this composition: 11 meV per atom
Raw total energy: -4.715 eV per atom

a b c (Å): 3.664 3.664 35.977
angles (deg): 90.00 90.00 120.00
Element x y z (fractional)
1 La 0.000 0.000 0.000
2 La 0.333 0.667 0.667
3 La 0.667 0.333 0.333
4 Pr 0.000 0.000 0.581
5 Pr 0.000 0.000 0.754
6 Pr 0.333 0.667 0.247
7 Pr 0.333 0.667 0.420
8 Pr 0.667 0.333 0.087
9 Pr 0.667 0.333 0.914
10 Tm 0.000 0.000 0.167
11 Tm 0.333 0.667 0.834
12 Tm 0.667 0.333 0.501

# 2
Density functional theory data (PBE) for crystalline LaPr5Tm4 at its relaxed geometry.

Output
Symmetry: P4/mmm
ΔE_f: 0.70 eV/atom
Raw total energy: -3.974 eV per atom

a b c (Å): 4.007 4.007 23.831
angles (deg): 90.00 90.00 90.00
Element x y z (fractional)
1 La 0.000 0.000 0.000
2 Pr 0.500 0.500 0.100
3 Pr 0.500 0.500 0.236
4 Pr 0.500 0.500 0.500
5 Pr 0.500 0.500 0.764
6 Pr 0.500 0.500 0.900
7 Tm 0.000 0.000 0.272
8 Tm 0.000 0.000 0.408
9 Tm 0.000 0.000 0.592
10 Tm 0.000 0.000 0.728